! Ba2CdI2 | Alexandria | PBE | relaxed; values from VASP
&SYSTEM
  ibrav = 0, nat = 10, ntyp = 3
/
ATOMIC_SPECIES
Ba 137.33 Ba.upf
Cd 112.41 Cd.upf
I 126.90 I.upf
CELL_PARAMETERS angstrom
5.535 0.000 0.000
0.000 5.535 0.000
0.000 0.000 16.804
ATOMIC_POSITIONS crystal
Ba 0.000 0.000 0.124
Ba 0.000 0.000 0.876
Ba 0.500 0.500 0.376
Ba 0.500 0.500 0.624
Cd 0.000 0.000 0.500
Cd 0.500 0.500 0.000
I 0.000 0.500 0.250
I 0.000 0.500 0.750
I 0.500 0.000 0.250
I 0.500 0.000 0.750
! Density of states at the Fermi level in states/eV/atom: 0.524
! Formation energy without anion corrections in kJ/mol of formula units: -438